{"formula": "Rb3Y2PtO6", "functional": "PBE", "state": "relaxed", "cell": [[3.0759, -5.0739, 0.0000], [3.0759, 5.0739, 0.0000], [-2.2637, 0.0000, 6.5120]], "species": ["Rb", "Rb", "Rb", "Y", "Y", "Pt", "O", "O", "O", "O", "O", "O"], "frac_coords": [[0.0000, 0.0000, 0.0000], [0.3355, 0.6645, 0.0000], [0.6645, 0.3355, 0.0000], [0.1644, 0.8356, 0.5000], [0.8356, 0.1644, 0.5000], [0.5000, 0.5000, 0.5000], [0.1260, 0.4392, 0.3343], [0.2017, 0.2017, 0.7032], [0.4392, 0.1260, 0.3343], [0.5608, 0.8740, 0.6657], [0.7983, 0.7983, 0.2968], [0.8740, 0.5608, 0.6657]], "mass_density_g_cm3": 5.9, "magnetic_moment_mub_per_fu": 0.96, "e_form_raw_ev_per_atom": -1.963}